Material: TbMg4Tl5
Method: DFT, PBE
State: relaxed

## Properties
**N(E_F)**: 4.5 states/eV/f.u.
**Symmetry**: P4/mmm
**Total DFT energy (no corrections)**: -0.175 Ry per atom
**ΔH_f (0 K)**: -0.096 eV per atom

```
TbMg4Tl5
1.0
3.692 0.000 0.000
0.000 3.692 0.000
0.000 0.000 18.456
Tb Mg Tl
1 4 5
Cartesian
0.000 0.000 0.000
0.000 0.000 3.796
0.000 0.000 7.395
0.000 0.000 11.061
0.000 0.000 14.660
1.846 1.846 2.017
1.846 1.846 5.601
1.846 1.846 9.228
1.846 1.846 12.855
1.846 1.846 16.439
```